The following is a DFT calculation (PBE-GGA) of a relaxed Ba2Mg crystal.

Properties
Spin magnetization, μB per cell: 0.00
ΔE_f, eV per formula unit: 0.075

a b c (Å): 16.859 16.859 16.859
angles (deg): 165.32 165.32 20.82
Fractional positions:
Ba 0.310 0.560 0.750
Ba 0.440 0.690 0.750
Ba 0.560 0.310 0.250
Ba 0.690 0.440 0.250
Mg 0.125 0.875 0.250
Mg 0.875 0.125 0.750